The following is a DFT calculation (PBE-GGA) of a geometry-optimized Co2Pt2W structure.

Properties
- SG = P4/mbm
- total magnetization (μB per atom) = 0.655
- polymorph energy (0 for the lowest one) (eV per atom) = 0.235
- V (Å³ per cell) = 142.2
- formation enthalpy at 0 K (meV per atom) = 186

a b c (Å): 7.238 7.238 2.715
angles (deg): 90.00 90.00 90.00
Atoms (fractional coordinates):
1 Co 0.168 0.332 0.000
2 Co 0.332 0.832 0.000
3 Co 0.668 0.168 0.000
4 Co 0.832 0.668 0.000
5 Pt 0.132 0.632 0.500
6 Pt 0.368 0.132 0.500
7 Pt 0.632 0.868 0.500
8 Pt 0.868 0.368 0.500
9 W 0.000 0.000 0.500
10 W 0.500 0.500 0.500